# NdTlGe | the Open Quantum Materials Database | GGA-PBE | optimized geometry
data_NdTlGe
_space_group_name_H-M_alt 'F -4 3 m'
_space_group_IT_number 216
_space_group_name_Hall 'F -4 2 3'
_cell_length_a 7.194
_cell_length_b 7.194
_cell_length_c 7.194
_cell_angle_alpha 90.00
_cell_angle_beta 90.00
_cell_angle_gamma 90.00
loop_
_atom_site_label
_atom_site_type_symbol
_atom_site_fract_x
_atom_site_fract_y
_atom_site_fract_z
_atom_site_occupancy
Nd1 Nd 0.000 0.000 0.000 1
Tl1 Tl 0.250 0.250 0.250 1
Ge1 Ge 0.250 0.250 0.750 1
# - E (eV per atom) = -4.0205
# - density (g/cm3) = 7.52
# - magnetization (μB/f.u.) = 0.00
# - relative energy among the computed polymorphs (meV per atom) = 0